# Ni2Ag2RhO6

A relaxed structure of Ni2Ag2RhO6 (PBE+U, Alexandria via LeMat-Bulk).

Geometry as POSCAR:
```
Ni2Ag2RhO6
1.0
-1.513 3.192 -3.860
-3.506 -1.793 3.446
0.006 5.177 3.534
Ni Ag O Rh
2 2 6 1
Cartesian
-2.834 2.468 2.761 Ni
-2.179 4.108 0.358 Ni
-1.846 2.359 -2.639 Ag
-3.173 -0.959 2.225 Ag
-3.212 4.300 2.058 O
-1.801 2.276 1.062 O
-1.214 3.903 -1.406 O
-2.475 5.985 -0.329 O
-3.799 2.673 4.525 O
-2.538 0.591 3.448 O
0.003 2.588 1.767 Rh
```

Calculated values
Electronic total energy   -4.93 eV per atom
Calculated volume   13.29 Å³ per atom
Space group   C2/m (12)
Crystal system   monoclinic